(1)
Density functional theory data (GGA-PBE) for a relaxed GdThBiAu crystal.

```
GdThBiAu
1.0
0.000 3.817 3.817
3.817 0.000 3.817
3.817 3.817 0.000
Gd Th Bi Au
1 1 1 1
direct
0.000 0.000 0.000
0.500 0.500 0.500
0.250 0.250 0.250
0.750 0.750 0.750
```

## Properties
N(E_F) ... 5.30 states/eV per cell
Calculated total energy ... -30.9 eV per cell
DFT formation energy ... -0.548 eV/atom

=====

(2)
Density functional theory data (GGA-PBE) for a relaxed GdTlBiAu crystal.

```
GdTlBiAu
1.0
0.000 3.803 3.803
3.803 0.000 3.803
3.803 3.803 0.000
Gd Tl Bi Au
1 1 1 1
direct
0.000 0.000 0.000
0.500 0.500 0.500
0.750 0.750 0.750
0.250 0.250 0.250
```

## Properties
N(E_F) ... 2.54 states/eV per cell
Calculated total energy ... -25.0 eV per cell
DFT formation energy ... -0.353 eV/atom

=====

(3)
Density functional theory data (GGA-PBE) for a relaxed GdYBiAu crystal.

```
GdYBiAu
1.0
0.000 3.760 3.760
3.760 0.000 3.760
3.760 3.760 0.000
Gd Y Bi Au
1 1 1 1
direct
0.000 0.000 0.000
0.500 0.500 0.500
0.750 0.750 0.750
0.250 0.250 0.250
```

## Properties
N(E_F) ... 5.10 states/eV per cell
Calculated total energy ... -30.5 eV per cell
DFT formation energy ... -0.694 eV/atom

=====

(4)
Density functional theory data (GGA-PBE) for a relaxed Ge2Bi2Au5 crystal.

```
Ge2Bi2Au5
1.0
6.714 -2.339 0.000
6.714 2.339 0.000
-3.746 0.000 7.053
Ge Bi Au
2 2 5
direct
0.106 0.106 0.277
0.894 0.894 0.723
0.349 0.349 0.226
0.651 0.651 0.774
0.115 0.115 0.950
0.327 0.327 0.579
0.500 0.500 0.000
0.673 0.673 0.421
0.885 0.885 0.050
```

## Properties
N(E_F) ... 2.84 states/eV per cell
Calculated total energy ... -32.9 eV per cell
DFT formation energy ... 0.052 eV/atom

=====

(5)
Density functional theory data (GGA-PBE) for a relaxed GeBiAu5 crystal.

```
GeBiAu5
1.0
4.181 0.000 0.000
0.000 4.181 0.000
0.000 0.000 8.523
Ge Bi Au
1 1 5
direct
0.000 0.000 0.000
0.500 0.500 0.500
0.000 0.500 0.245
0.000 0.500 0.755
0.500 0.000 0.245
0.500 0.000 0.755
0.500 0.500 0.000
```

## Properties
N(E_F) ... 2.96 states/eV per cell
Calculated total energy ... -24.4 eV per cell
DFT formation energy ... 0.074 eV/atom

=====

(6)
Density functional theory data (GGA-PBE) for a relaxed GeBi2Au7 crystal.

```
GeBi2Au7
1.0
3.958 0.000 0.000
0.000 3.958 0.000
0.000 0.000 13.852
Ge Bi Au
1 2 7
direct
0.000 0.000 0.000
0.000 0.500 0.749
0.500 0.000 0.251
0.000 0.000 0.500
0.000 0.500 0.148
0.000 0.500 0.349
0.500 0.000 0.651
0.500 0.000 0.852
0.500 0.500 0.000
0.500 0.500 0.500
```

## Properties
N(E_F) ... 5.80 states/eV per cell
Calculated total energy ... -34.8 eV per cell
DFT formation energy ... 0.054 eV/atom